GGA-PBE SrNiW2, optimized geometry; N(E_F) = 5.16 states/eV per cell; symmetry = P4/mmm, No. 123; energy relative to the elements = 830 meV/atom; E = -7.512 eV per atom; calculated volume = 17.93 A^3/atom; excess energy over the best structure of this formula in the dataset = 261 meV/atom
1.0
2.792 0.000 0.000
0.000 2.792 0.000
0.000 0.000 9.197
Sr Ni W
1 1 2
Cartesian
0.000 0.000 0.000 Sr
0.000 0.000 4.599 Ni
1.396 1.396 2.833 W
1.396 1.396 6.365 W